# 1
Material: CoRhAu2
Method: DFT, PBE
State: optimized geometry

Unit cell a=2.809 b=2.809 c=7.781 alpha=90.00 beta=90.00 gamma=90.00
Space group P4/mmm (No. 123)
Symmetry-distinct sites (fractional):
Co (0.000, 0.000, 0.000) [1 per cell]
Rh (0.000, 0.000, 0.500) [1 per cell]
Au (0.500, 0.500, 0.237) [2 per cell]

Summary:
Total energy in eV per atom: -5.019
Offset from the most stable computed form in kJ/mol of atoms: 12.93
Formation energy in eV per atom: 0.234
D(E_F) in states/eV per cell: 4.567

***

# 2
Material: SbPbCl2
Method: DFT, PBE
State: optimized geometry

Unit cell a=4.695 b=4.695 c=9.351 alpha=90.00 beta=90.00 gamma=90.00
Space group I4/mmm (No. 139)
Symmetry-distinct sites (fractional):
Sb (0.000, 0.000, 0.000) [2 per cell]
Pb (0.000, 0.000, 0.500) [2 per cell]
Cl (0.000, 0.500, 0.250) [4 per cell]

Summary:
E_form (uncorrected) in eV per atom: -0.228
Total energy in eV per atom: -3.109
Offset from the most stable computed form in kJ/mol of atoms: 29.75
D(E_F) in states/eV per cell: 4.709

***

# 3
Material: BaGaHg2Pb
Method: DFT, PBE
State: optimized geometry

Unit cell a=5.376 b=5.376 c=5.661 alpha=90.00 beta=90.00 gamma=90.00
Space group P4/mmm (No. 123)
Symmetry-distinct sites (fractional):
Ba (0.000, 0.000, 0.000) [1 per cell]
Ga (0.500, 0.500, 0.500) [1 per cell]
Hg (0.000, 0.500, 0.500) [2 per cell]
Pb (0.500, 0.500, 0.000) [1 per cell]

Summary:
Total energy in eV per atom: -2.040
Formation energy in eV per atom: -0.188
D(E_F) in states/eV per cell: 2.846